The following is a GGA-PBE calculation of a geometry-optimized AlZn2Si structure, from Alexandria via LeMat-Bulk.

The theoretical density is 4.9 g/cm3. Its energy relative to the elements, uncorrected is 0.1621 eV/atom.

The structure belongs to space group Pmm2 (No. 25); the cell edges are 2.915, 3.869 and 5.561 Å and the angles 90.00°, 90.00° and 90.00°. The asymmetric unit holds Al at (0.000, 0.000, 0.000), Zn at (0.000, 0.000, 0.493), Zn at (0.500, 0.500, 0.725) and Si at (0.500, 0.500, 0.222).